[1]
# Mg2PPd5, optimized geometry, DFT PBE-GGA
data_Mg2PPd5
_chemical_formula_sum 'Mg2 P1 Pd5'
_cell_length_a 5.7705
_cell_length_b 5.7705
_cell_length_c 4.4702
_cell_angle_alpha 90.00
_cell_angle_beta 90.00
_cell_angle_gamma 90.00
_symmetry_space_group_name_H-M 'P 4/m m m'
_symmetry_Int_Tables_number 123
_symmetry_space_group_name_Hall '-P 4 2'
loop_
_atom_site_label
_atom_site_type_symbol
_atom_site_fract_x
_atom_site_fract_y
_atom_site_fract_z
Mg1 Mg 0.0000 0.5000 0.0000
P1 P 0.0000 0.0000 0.5000
Pd1 Pd 0.0000 0.0000 0.0000
Pd2 Pd 0.2712 0.2712 0.5000
# Calculated formation energy, eV/atom: -0.39
# Energy relative to the lowest polymorph listed for this composition, eV per formula unit: 1.97

[2]
# MgP2Pd8, optimized geometry, DFT PBE-GGA
data_MgP2Pd8
_chemical_formula_sum 'Mg2 P4 Pd16'
_cell_length_a 7.3953
_cell_length_b 10.7457
_cell_length_c 4.4080
_cell_angle_alpha 90.00
_cell_angle_beta 104.80
_cell_angle_gamma 90.00
_symmetry_space_group_name_H-M 'C 1 2/m 1'
_symmetry_Int_Tables_number 12
_symmetry_space_group_name_Hall '-C 2y'
loop_
_atom_site_label
_atom_site_type_symbol
_atom_site_fract_x
_atom_site_fract_y
_atom_site_fract_z
Mg1 Mg 0.0000 0.0000 0.0000
P1 P 0.0000 0.3218 0.5000
Pd1 Pd 0.0000 0.2490 0.0000
Pd2 Pd 0.1183 0.5000 0.8103
Pd3 Pd 0.1945 0.1300 0.5881
# Calculated formation energy, eV/atom: -0.51

[3]
# MgPPd2, optimized geometry, DFT PBE-GGA
data_MgPPd2
_chemical_formula_sum 'Mg1 P1 Pd2'
_cell_length_a 4.1680
_cell_length_b 4.1680
_cell_length_c 3.4458
_cell_angle_alpha 90.00
_cell_angle_beta 90.00
_cell_angle_gamma 90.00
_symmetry_space_group_name_H-M 'P 4/m m m'
_symmetry_Int_Tables_number 123
_symmetry_space_group_name_Hall '-P 4 2'
loop_
_atom_site_label
_atom_site_type_symbol
_atom_site_fract_x
_atom_site_fract_y
_atom_site_fract_z
Mg1 Mg 0.0000 0.0000 0.0000
P1 P 0.5000 0.5000 0.0000
Pd1 Pd 0.0000 0.5000 0.5000
# Calculated formation energy, eV/atom: -0.47

[4]
# PmMgP2Pd2, optimized geometry, DFT PBE-GGA
data_PmMgP2Pd2
_chemical_formula_sum 'Pm1 Mg1 P2 Pd2'
_cell_length_a 4.1488
_cell_length_b 4.1488
_cell_length_c 7.2186
_cell_angle_alpha 90.00
_cell_angle_beta 90.00
_cell_angle_gamma 120.00
_symmetry_space_group_name_H-M 'P -3 m 1'
_symmetry_Int_Tables_number 164
_symmetry_space_group_name_Hall '-P 3 2"'
loop_
_atom_site_label
_atom_site_type_symbol
_atom_site_fract_x
_atom_site_fract_y
_atom_site_fract_z
Pm1 Pm 0.0000 0.0000 0.0000
Mg1 Mg 0.0000 0.0000 0.5000
P1 P 0.3333 0.6667 0.7487
Pd1 Pd 0.3333 0.6667 0.3011
# Calculated formation energy, eV/atom: -0.94

[5]
# Pm2MgP3Pd4, optimized geometry, DFT PBE-GGA
data_Pm2MgP3Pd4
_chemical_formula_sum 'Pm2 Mg1 P3 Pd4'
_cell_length_a 4.0631
_cell_length_b 4.0631
_cell_length_c 10.9465
_cell_angle_alpha 90.00
_cell_angle_beta 90.00
_cell_angle_gamma 90.00
_symmetry_space_group_name_H-M 'P -4 m 2'
_symmetry_Int_Tables_number 115
_symmetry_space_group_name_Hall 'P -4 -2'
loop_
_atom_site_label
_atom_site_type_symbol
_atom_site_fract_x
_atom_site_fract_y
_atom_site_fract_z
Pm1 Pm 0.0000 0.5000 0.2242
Mg1 Mg 0.0000 0.0000 0.5000
P1 P 0.0000 0.5000 0.8626
P2 P 0.5000 0.5000 0.5000
Pd1 Pd 0.0000 0.0000 0.0000
Pd2 Pd 0.0000 0.5000 0.6467
Pd3 Pd 0.5000 0.5000 0.0000
# Calculated formation energy, eV/atom: -0.94

[6]
# Mg2PPd2Pt4, optimized geometry, DFT PBE-GGA
data_Mg2PPd2Pt4
_chemical_formula_sum 'Mg4 P2 Pd4 Pt8'
_cell_length_a 5.9045
_cell_length_b 5.9045
_cell_length_c 8.5115
_cell_angle_alpha 90.00
_cell_angle_beta 90.00
_cell_angle_gamma 90.00
_symmetry_space_group_name_H-M 'I 4/m m m'
_symmetry_Int_Tables_number 139
_symmetry_space_group_name_Hall '-I 4 2'
loop_
_atom_site_label
_atom_site_type_symbol
_atom_site_fract_x
_atom_site_fract_y
_atom_site_fract_z
Mg1 Mg 0.0000 0.5000 0.2500
P1 P 0.0000 0.0000 0.0000
Pd1 Pd 0.0000 0.0000 0.2638
Pt1 Pt 0.2334 0.2334 0.5000
# Calculated formation energy, eV/atom: -0.62

Calculated energy in order - -37.6, -119.1, -19.3, -33.2, -57.5, -97.5 eV/cell